No. 1
# Sr2InRu

A geometry-optimized Sr2InRu structure (PBE, Alexandria via LeMat-Bulk).

Cell and atoms, written as extended XYZ:
```
4
Lattice="6.495 0.027 0.023 3.043 5.738 -0.023 -4.174 -3.866 3.132" Properties=species:S:1:pos:R:3 pbc="T T T"
Ru 2.075 2.532 1.555
In 4.241 2.564 0.000
Sr 3.429 -0.548 1.578
Sr 0.387 0.234 0.000
```

No. 2
# Sr3InRu

A geometry-optimized Sr3InRu structure (PBE, Alexandria via LeMat-Bulk).

Summary:
As for the distance to the lowest polymorph of the same formula: 0.00 eV/f.u.

Cell and atoms, written as extended XYZ:
```
5
Lattice="-1.918 -1.070 -5.284 3.097 -4.809 -0.150 -4.413 -2.910 2.191" Properties=species:S:1:pos:R:3 pbc="T T T"
Ru 0.000 0.000 0.000
In -1.617 -4.395 -1.622
Sr -0.959 -0.535 -2.642
Sr -2.207 -1.455 1.095
Sr 1.548 -2.405 -0.075
```

No. 3
# Sr2InRu

A geometry-optimized Sr2InRu structure (PBE, Alexandria via LeMat-Bulk).

Cell and atoms, written as extended XYZ:
```
4
Lattice="-3.593 0.752 0.208 -0.660 -3.450 1.085 1.024 2.512 8.606" Properties=species:S:1:pos:R:3 pbc="T T T"
In 0.584 1.432 4.906
Sr -1.792 -0.529 3.455
Sr 0.942 2.310 7.915
Ru -1.426 0.369 6.533
```

No. 4
# SrInRu

A geometry-optimized SrInRu structure (PBE, Alexandria via LeMat-Bulk).

Cell and atoms, written as extended XYZ:
```
3
Lattice="3.686 0.000 0.000 -1.843 3.192 0.000 0.000 0.000 6.630" Properties=species:S:1:pos:R:3 pbc="T T T"
Ru 1.843 1.064 2.050
In 0.000 0.000 0.401
Sr 0.000 2.128 4.179
```

| no. | E_form (eV/f.u.) |
| --- | --- |
| 1 | 0.40 |
| 2 | 1.03 |
| 3 | 0.27 |
| 4 | 1.08 |